DFT (PBE) results for a relaxed structure of CaNdThN3.

abc: 3.5487 6.1928 9.2359
angles: 102.12 90.00 90.00
Last column: nearest neighbours and their distance in Å.
Positions (direct):
Ca  0.2500  0.1372  0.6335  5 N 2.37-2.62
Ca  0.7500  0.8628  0.3665  5 N 2.37-2.62
Th  0.2500  0.3620  0.3145  5 N 2.48-2.58
Th  0.7500  0.6380  0.6855  5 N 2.48-2.58
N  0.7500  0.0357  0.1565  1 Ca 2.40, 3 Nd 2.44-2.46
N  0.2500  0.9643  0.8435  1 Ca 2.40, 3 Nd 2.44-2.46
N  0.7500  0.5291  0.1848  1 Ca 2.37, 2 Th 2.48, 1 Nd 2.56
N  0.7500  0.2811  0.4989  3 Ca 2.44-2.62, 3 Th 2.50-2.58
N  0.2500  0.7189  0.5011  3 Ca 2.44-2.62, 3 Th 2.50-2.58
N  0.2500  0.4709  0.8152  1 Ca 2.37, 2 Th 2.48, 1 Nd 2.56
Nd  0.7500  0.2252  0.9496  4 N 2.44-2.56
Nd  0.2500  0.7748  0.0504  4 N 2.44-2.56

Formation energy from raw total energies: -1255 meV/atom
Total magnetic moment: 0.00 μB/atom